# Er7Zn4Cd (PBE, relaxed)
# Calculated density = 8585 kg/m3
# Raw total energy = -0.119 Ha/atom
data_Er7Zn4Cd
_cell_length_a 13.851
_cell_length_b 5.563
_cell_length_c 8.955
_cell_angle_alpha 90.00
_cell_angle_beta 119.99
_cell_angle_gamma 90.00
_space_group_name_H-M_alt 'C 1 2/m 1'
_space_group_IT_number 12
_space_group_name_Hall '-C 2y'
loop_
_atom_site_label
_atom_site_fract_x
_atom_site_fract_y
_atom_site_fract_z
Er1 0.000 0.000 0.000
Er2 0.077 0.500 0.411
Er3 0.187 0.500 0.876
Er4 0.226 0.000 0.685
Zn1 0.020 0.000 0.677
Zn2 0.186 0.000 0.337
Cd1 0.000 0.500 0.000

# Na2Li3OsO6 (PBE, relaxed)
# Raw formation energy = -1.55 eV per atom
# Calculated density = 4505 kg/m3
data_Na2Li3OsO6
_cell_length_a 5.481
_cell_length_b 9.842
_cell_length_c 5.136
_cell_angle_alpha 90.00
_cell_angle_beta 110.07
_cell_angle_gamma 90.00
_space_group_name_H-M_alt 'C 1 2/m 1'
_space_group_IT_number 12
_space_group_name_Hall '-C 2y'
loop_
_atom_site_label
_atom_site_fract_x
_atom_site_fract_y
_atom_site_fract_z
Na1 0.000 0.171 0.000
Li1 0.000 0.000 0.500
Li2 0.000 0.360 0.500
Os1 0.000 0.500 0.000
O1 0.213 0.364 0.240
O2 0.215 0.500 0.773

# Sr2LiMg3 (PBE, relaxed)
# Calculated density = 2248 kg/m3
# Raw total energy = -0.065 Ha/atom
data_Sr2LiMg3
_cell_length_a 11.103
_cell_length_b 6.412
_cell_length_c 6.462
_cell_angle_alpha 90.00
_cell_angle_beta 124.98
_cell_angle_gamma 90.00
_space_group_name_H-M_alt 'C 1 2/m 1'
_space_group_IT_number 12
_space_group_name_Hall '-C 2y'
loop_
_atom_site_label
_atom_site_fract_x
_atom_site_fract_y
_atom_site_fract_z
Sr1 0.124 0.000 0.375
Li1 0.000 0.500 0.000
Mg1 0.000 0.500 0.500
Mg2 0.250 0.250 0.000

# CrTcOs3 (PBE, relaxed)
# Offset from the most stable computed form = 0.000 eV per atom
# Calculated density = 14087 kg/m3
data_CrTcOs3
_cell_length_a 4.396
_cell_length_b 4.396
_cell_length_c 4.396
_cell_angle_alpha 90.00
_cell_angle_beta 90.00
_cell_angle_gamma 90.00
_space_group_name_H-M_alt 'P m -3 m'
_space_group_IT_number 221
_space_group_name_Hall '-P 4 2 3'
loop_
_atom_site_label
_atom_site_fract_x
_atom_site_fract_y
_atom_site_fract_z
Cr1 0.000 0.000 0.000
Tc1 0.500 0.500 0.500
Os1 0.000 0.000 0.500

# TlPS2F (PBE, relaxed)
# Raw formation energy = 1.05 eV per atom
# Offset from the most stable computed form = 0.606 eV per atom
# Calculated density = 3661 kg/m3
data_TlPS2F
_cell_length_a 5.196
_cell_length_b 5.196
_cell_length_c 5.351
_cell_angle_alpha 90.00
_cell_angle_beta 90.00
_cell_angle_gamma 90.00
_space_group_name_H-M_alt 'P 4/m m m'
_space_group_IT_number 123
_space_group_name_Hall '-P 4 2'
loop_
_atom_site_label
_atom_site_fract_x
_atom_site_fract_y
_atom_site_fract_z
Tl1 0.000 0.000 0.000
P1 0.000 0.000 0.500
S1 0.000 0.500 0.000
F1 0.500 0.500 0.500

# CeYBiO2 (PBE, relaxed)
# Raw formation energy = -2.62 eV per atom
# Calculated density = 7498 kg/m3
data_CeYBiO2
_cell_length_a 3.972
_cell_length_b 3.972
_cell_length_c 13.197
_cell_angle_alpha 90.00
_cell_angle_beta 90.00
_cell_angle_gamma 90.00
_space_group_name_H-M_alt 'I 4 m m'
_space_group_IT_number 107
_space_group_name_Hall 'I 4 -2'
loop_
_atom_site_label
_atom_site_fract_x
_atom_site_fract_y
_atom_site_fract_z
Ce1 0.000 0.000 0.000
Y1 0.000 0.000 0.326
Bi1 0.000 0.000 0.664
O1 0.000 0.500 0.411

# Ca2ZrCl (PBE, relaxed)
# Raw formation energy = -0.59 eV per atom
# Offset from the most stable computed form = 0.041 eV per atom
# Calculated density = 2935 kg/m3
data_Ca2ZrCl
_cell_length_a 3.581
_cell_length_b 3.460
_cell_length_c 9.447
_cell_angle_alpha 90.00
_cell_angle_beta 90.54
_cell_angle_gamma 90.00
_space_group_name_H-M_alt 'P 1 2/m 1'
_space_group_IT_number 10
_space_group_name_Hall '-P 2y'
loop_
_atom_site_label
_atom_site_fract_x
_atom_site_fract_y
_atom_site_fract_z
Ca1 0.006 0.000 0.259
Zr1 0.500 0.500 0.000
Cl1 0.000 0.500 0.500

# MgTi (PBE, relaxed)
# Calculated density = 3071 kg/m3
# Raw total energy = -0.170 Ha/atom
data_MgTi
_cell_length_a 4.015
_cell_length_b 4.331
_cell_length_c 13.467
_cell_angle_alpha 90.00
_cell_angle_beta 90.00
_cell_angle_gamma 90.00
_space_group_name_H-M_alt 'P m m a'
_space_group_IT_number 51
_space_group_name_Hall '-P 2a 2a'
loop_
_atom_site_label
_atom_site_fract_x
_atom_site_fract_y
_atom_site_fract_z
Mg1 0.250 0.000 0.083
Mg2 0.250 0.000 0.746
Mg3 0.250 0.500 0.252
Ti1 0.250 0.000 0.432
Ti2 0.250 0.500 0.571
Ti3 0.250 0.500 0.927